# 1
# CdNi2BRh (GGA-PBE, optimized geometry)
# - total magnetization (μB per atom) = 0.000
# - E_form (eV/atom) = -0.190
data_CdNi2BRh
_cell_length_a 3.953
_cell_length_b 3.953
_cell_length_c 4.089
_cell_angle_alpha 90.00
_cell_angle_beta 90.00
_cell_angle_gamma 90.00
_symmetry_space_group_name_H-M 'P 4/m m m'
_symmetry_Int_Tables_number 123
_symmetry_space_group_name_Hall '-P 4 2'
loop_
_atom_site_label
_atom_site_type_symbol
_atom_site_fract_x
_atom_site_fract_y
_atom_site_fract_z
Cd1 Cd 0.000 0.000 0.000
Ni1 Ni 0.000 0.500 0.500
B1 B 0.500 0.500 0.500
Rh1 Rh 0.500 0.500 0.000



# 2
# Cd2NiB2Rh5 (GGA-PBE, optimized geometry)
# - total magnetization (μB per atom) = 0.116
# - E_form (eV/atom) = -0.210
data_Cd2NiB2Rh5
_cell_length_a 9.627
_cell_length_b 9.627
_cell_length_c 2.892
_cell_angle_alpha 90.00
_cell_angle_beta 90.00
_cell_angle_gamma 90.00
_symmetry_space_group_name_H-M 'P 4/m b m'
_symmetry_Int_Tables_number 127
_symmetry_space_group_name_Hall '-P 4 2ab'
loop_
_atom_site_label
_atom_site_type_symbol
_atom_site_fract_x
_atom_site_fract_y
_atom_site_fract_z
Cd1 Cd 0.179 0.321 0.000
Ni1 Ni 0.000 0.000 0.000
B1 B 0.126 0.626 0.000
Rh1 Rh 0.000 0.500 0.500
Rh2 Rh 0.068 0.782 0.500



# 3
# CdNi2BRu (GGA-PBE, optimized geometry)
# - total magnetization (μB per atom) = 0.119
# - E_form (eV/atom) = -0.016
data_CdNi2BRu
_cell_length_a 3.957
_cell_length_b 3.957
_cell_length_c 4.086
_cell_angle_alpha 90.00
_cell_angle_beta 90.00
_cell_angle_gamma 90.00
_symmetry_space_group_name_H-M 'P 4/m m m'
_symmetry_Int_Tables_number 123
_symmetry_space_group_name_Hall '-P 4 2'
loop_
_atom_site_label
_atom_site_type_symbol
_atom_site_fract_x
_atom_site_fract_y
_atom_site_fract_z
Cd1 Cd 0.000 0.000 0.000
Ni1 Ni 0.000 0.500 0.500
B1 B 0.500 0.500 0.500
Ru1 Ru 0.500 0.500 0.000



# 4
# Sc2CdNiB (GGA-PBE, optimized geometry)
# - total magnetization (μB per atom) = 0.000
# - E_form (eV/atom) = -0.302
data_Sc2CdNiB
_cell_length_a 4.742
_cell_length_b 4.742
_cell_length_c 3.827
_cell_angle_alpha 90.00
_cell_angle_beta 90.00
_cell_angle_gamma 90.00
_symmetry_space_group_name_H-M 'P 4/m m m'
_symmetry_Int_Tables_number 123
_symmetry_space_group_name_Hall '-P 4 2'
loop_
_atom_site_label
_atom_site_type_symbol
_atom_site_fract_x
_atom_site_fract_y
_atom_site_fract_z
Sc1 Sc 0.000 0.500 0.000
Cd1 Cd 0.000 0.000 0.500
Ni1 Ni 0.500 0.500 0.500
B1 B 0.500 0.500 0.000



# 5
# TaCdNiB2 (GGA-PBE, optimized geometry)
# - total magnetization (μB per atom) = 0.000
# - E_form (eV/atom) = 0.993
data_TaCdNiB2
_cell_length_a 3.911
_cell_length_b 3.911
_cell_length_c 4.774
_cell_angle_alpha 90.00
_cell_angle_beta 90.00
_cell_angle_gamma 90.00
_symmetry_space_group_name_H-M 'P 4/m m m'
_symmetry_Int_Tables_number 123
_symmetry_space_group_name_Hall '-P 4 2'
loop_
_atom_site_label
_atom_site_type_symbol
_atom_site_fract_x
_atom_site_fract_y
_atom_site_fract_z
Ta1 Ta 0.000 0.000 0.000
Cd1 Cd 0.500 0.500 0.000
Ni1 Ni 0.000 0.000 0.500
B1 B 0.000 0.500 0.500



# 6
# CdTcNi2B (GGA-PBE, optimized geometry)
# - total magnetization (μB per atom) = 0.857
# - E_form (eV/atom) = 2.548
data_CdTcNi2B
_cell_length_a 4.620
_cell_length_b 4.620
_cell_length_c 5.088
_cell_angle_alpha 90.00
_cell_angle_beta 90.00
_cell_angle_gamma 90.00
_symmetry_space_group_name_H-M 'P 4/m m m'
_symmetry_Int_Tables_number 123
_symmetry_space_group_name_Hall '-P 4 2'
loop_
_atom_site_label
_atom_site_type_symbol
_atom_site_fract_x
_atom_site_fract_y
_atom_site_fract_z
Cd1 Cd 0.000 0.000 0.000
Tc1 Tc 0.000 0.000 0.500
Ni1 Ni 0.000 0.500 0.000
B1 B 0.500 0.500 0.500



# 7
# CdNiBTe2 (GGA-PBE, optimized geometry)
# - total magnetization (μB per atom) = 0.000
# - uncorrected formation energy (eV per atom) = 0.536
data_CdNiBTe2
_cell_length_a 5.103
_cell_length_b 5.103
_cell_length_c 3.890
_cell_angle_alpha 90.00
_cell_angle_beta 90.00
_cell_angle_gamma 90.00
_symmetry_space_group_name_H-M 'P 4/m m m'
_symmetry_Int_Tables_number 123
_symmetry_space_group_name_Hall '-P 4 2'
loop_
_atom_site_label
_atom_site_type_symbol
_atom_site_fract_x
_atom_site_fract_y
_atom_site_fract_z
Cd1 Cd 0.000 0.000 0.000
Ni1 Ni 0.500 0.500 0.000
B1 B 0.500 0.500 0.500
Te1 Te 0.000 0.500 0.500



# 8
# Y2CdNiB (GGA-PBE, optimized geometry)
# - total magnetization (μB per atom) = 0.000
# - E_form (eV/atom) = -0.291
data_Y2CdNiB
_cell_length_a 5.154
_cell_length_b 5.154
_cell_length_c 3.835
_cell_angle_alpha 90.00
_cell_angle_beta 90.00
_cell_angle_gamma 90.00
_symmetry_space_group_name_H-M 'P 4/m m m'
_symmetry_Int_Tables_number 123
_symmetry_space_group_name_Hall '-P 4 2'
loop_
_atom_site_label
_atom_site_type_symbol
_atom_site_fract_x
_atom_site_fract_y
_atom_site_fract_z
Y1 Y 0.000 0.500 0.000
Cd1 Cd 0.000 0.000 0.500
Ni1 Ni 0.500 0.500 0.500
B1 B 0.500 0.500 0.000



# 9
# NpCdB2O8 (GGA-PBE, optimized geometry)
# - total magnetization (μB per atom) = 0.079
# - uncorrected formation energy (eV per atom) = -1.914
data_NpCdB2O8
_cell_length_a 8.123
_cell_length_b 5.233
_cell_length_c 7.054
_cell_angle_alpha 90.00
_cell_angle_beta 93.67
_cell_angle_gamma 90.00
_symmetry_space_group_name_H-M 'C 1 2/m 1'
_symmetry_Int_Tables_number 12
loop_
_symmetry_equiv_pos_as_xyz
'x,y,z'
'-x,-y,-z'
'-x,y,-z'
'x,-y,z'
'x+1/2,y+1/2,z'
'-x+1/2,-y+1/2,-z'
'-x+1/2,y+1/2,-z'
'x+1/2,-y+1/2,z'
loop_
_atom_site_label
_atom_site_type_symbol
_atom_site_fract_x
_atom_site_fract_y
_atom_site_fract_z
Np1 Np 0.000 0.000 0.000
Cd1 Cd 0.000 0.000 0.500
B1 B 0.157 0.500 0.245
O1 O 0.055 0.267 0.213
O2 O 0.225 0.000 0.918
O3 O 0.236 0.500 0.429



# 10
# NpCd4B3Pt12 (GGA-PBE, optimized geometry)
# - total magnetization (μB per atom) = 0.162
# - E_form (eV/atom) = 0.091
data_NpCd4B3Pt12
_cell_length_a 8.910
_cell_length_b 8.910
_cell_length_c 8.910
_cell_angle_alpha 90.00
_cell_angle_beta 90.00
_cell_angle_gamma 90.00
_symmetry_space_group_name_H-M 'I m -3 m'
_symmetry_Int_Tables_number 229
_symmetry_space_group_name_Hall '-I 4 2 3'
loop_
_atom_site_label
_atom_site_type_symbol
_atom_site_fract_x
_atom_site_fract_y
_atom_site_fract_z
Np1 Np 0.000 0.000 0.000
Cd1 Cd 0.250 0.250 0.250
B1 B 0.000 0.000 0.500
Pt1 Pt 0.000 0.000 0.281
Pt2 Pt 0.000 0.250 0.500



# 11
# Np2CdB2Rh5 (GGA-PBE, optimized geometry)
# - total magnetization (μB per atom) = 0.693
# - E_form (eV/atom) = -0.400
data_Np2CdB2Rh5
_cell_length_a 9.808
_cell_length_b 9.808
_cell_length_c 3.161
_cell_angle_alpha 90.00
_cell_angle_beta 90.00
_cell_angle_gamma 90.00
_symmetry_space_group_name_H-M 'P 4/m b m'
_symmetry_Int_Tables_number 127
_symmetry_space_group_name_Hall '-P 4 2ab'
loop_
_atom_site_label
_atom_site_type_symbol
_atom_site_fract_x
_atom_site_fract_y
_atom_site_fract_z
Np1 Np 0.178 0.322 0.000
Cd1 Cd 0.000 0.000 0.000
B1 B 0.120 0.620 0.000
Rh1 Rh 0.000 0.500 0.500
Rh2 Rh 0.070 0.770 0.500



# 12
# CdBO3 (GGA-PBE, optimized geometry)
# - total magnetization (μB per atom) = 0.000
# - uncorrected formation energy (eV per atom) = -1.483
data_CdBO3
_cell_length_a 9.917
_cell_length_b 6.432
_cell_length_c 3.403
_cell_angle_alpha 90.00
_cell_angle_beta 102.02
_cell_angle_gamma 90.00
_symmetry_space_group_name_H-M 'C 1 2/m 1'
_symmetry_Int_Tables_number 12
loop_
_symmetry_equiv_pos_as_xyz
'x,y,z'
'-x,-y,-z'
'-x,y,-z'
'x,-y,z'
'x+1/2,y+1/2,z'
'-x+1/2,-y+1/2,-z'
'-x+1/2,y+1/2,-z'
'x+1/2,-y+1/2,z'
loop_
_atom_site_label
_atom_site_type_symbol
_atom_site_fract_x
_atom_site_fract_y
_atom_site_fract_z
Cd1 Cd 0.201 0.000 0.215
B1 B 0.000 0.312 0.500
O1 O 0.042 0.500 0.207
O2 O 0.125 0.224 0.673



# 13
# CdBO3 (GGA-PBE, optimized geometry)
# - total magnetization (μB per atom) = 0.344
# - uncorrected formation energy (eV per atom) = 1.300
data_CdBO3
_cell_length_a 4.109
_cell_length_b 4.109
_cell_length_c 4.109
_cell_angle_alpha 90.00
_cell_angle_beta 90.00
_cell_angle_gamma 90.00
_symmetry_space_group_name_H-M 'P m -3 m'
_symmetry_Int_Tables_number 221
_symmetry_space_group_name_Hall '-P 4 2 3'
loop_
_atom_site_label
_atom_site_type_symbol
_atom_site_fract_x
_atom_site_fract_y
_atom_site_fract_z
Cd1 Cd 0.000 0.000 0.000
B1 B 0.500 0.500 0.500
O1 O 0.000 0.000 0.500



# 14
# CdB2O4 (GGA-PBE, optimized geometry)
# - total magnetization (μB per atom) = 0.000
# - energy above the most stable polymorph in this dataset (eV/atom) = 0.129
# - uncorrected formation energy (eV per atom) = -1.935
data_CdB2O4
_cell_length_a 4.077
_cell_length_b 8.207
_cell_length_c 8.220
_cell_angle_alpha 90.00
_cell_angle_beta 90.00
_cell_angle_gamma 90.00
_symmetry_space_group_name_H-M 'C c c m'
_symmetry_Int_Tables_number 66
_symmetry_space_group_name_Hall '-C 2 2c'
loop_
_atom_site_label
_atom_site_type_symbol
_atom_site_fract_x
_atom_site_fract_y
_atom_site_fract_z
Cd1 Cd 0.000 0.000 0.250
B1 B 0.000 0.257 0.000
O1 O 0.240 0.117 0.000
O2 O 0.250 0.250 0.367



# 15
# Cd3B2O6 (GGA-PBE, optimized geometry)
# - total magnetization (μB per atom) = 0.000
# - energy above the most stable polymorph in this dataset (eV/atom) = 0.002
# - uncorrected formation energy (eV per atom) = -1.710
data_Cd3B2O6
_cell_length_a 4.843
_cell_length_b 6.096
_cell_length_c 9.171
_cell_angle_alpha 90.00
_cell_angle_beta 90.00
_cell_angle_gamma 90.00
_symmetry_space_group_name_H-M 'P n n m'
_symmetry_Int_Tables_number 58
loop_
_symmetry_equiv_pos_as_xyz
'x,y,z'
'-x,-y,-z'
'-x,-y,z'
'x,y,-z'
'x+1/2,-y+1/2,-z+1/2'
'-x+1/2,y+1/2,z+1/2'
'-x+1/2,y+1/2,-z+1/2'
'x+1/2,-y+1/2,z+1/2'
loop_
_atom_site_label
_atom_site_type_symbol
_atom_site_fract_x
_atom_site_fract_y
_atom_site_fract_z
Cd1 Cd 0.000 0.000 0.000
Cd2 Cd 0.000 0.500 0.189
B1 B 0.034 0.241 0.500
O1 O 0.179 0.283 0.370
O2 O 0.241 0.821 0.500



# 16
# CdB2O (GGA-PBE, optimized geometry)
# - total magnetization (μB per atom) = 0.000
# - energy above the most stable polymorph in this dataset (eV/atom) = 1.509
# - uncorrected formation energy (eV per atom) = 1.824
data_CdB2O
_cell_length_a 5.800
_cell_length_b 5.800
_cell_length_c 5.800
_cell_angle_alpha 90.00
_cell_angle_beta 90.00
_cell_angle_gamma 90.00
_symmetry_space_group_name_H-M 'F m -3 m'
_symmetry_Int_Tables_number 225
_symmetry_space_group_name_Hall '-F 4 2 3'
loop_
_atom_site_label
_atom_site_type_symbol
_atom_site_fract_x
_atom_site_fract_y
_atom_site_fract_z
Cd1 Cd 0.000 0.000 0.000
B1 B 0.250 0.250 0.250
O1 O 0.000 0.000 0.500



# 17
# CdB2O4 (GGA-PBE, optimized geometry)
# - total magnetization (μB per atom) = 0.000
# - energy above the most stable polymorph in this dataset (eV/atom) = 0.000
# - uncorrected formation energy (eV per atom) = -2.064
data_CdB2O4
_cell_length_a 8.265
_cell_length_b 14.238
_cell_length_c 5.120
_cell_angle_alpha 90.00
_cell_angle_beta 90.00
_cell_angle_gamma 90.00
_symmetry_space_group_name_H-M 'P c c n'
_symmetry_Int_Tables_number 56
loop_
_symmetry_equiv_pos_as_xyz
'x,y,z'
'-x,-y,-z'
'-x+1/2,-y+1/2,z'
'x+1/2,y+1/2,-z'
'x+1/2,-y,-z+1/2'
'-x+1/2,y,z+1/2'
'-x,y+1/2,-z+1/2'
'x,-y+1/2,z+1/2'
loop_
_atom_site_label
_atom_site_type_symbol
_atom_site_fract_x
_atom_site_fract_y
_atom_site_fract_z
Cd1 Cd 0.115 0.149 0.013
B1 B 0.035 0.638 0.974
B2 B 0.244 0.552 0.235
O1 O 0.089 0.606 0.211
O2 O 0.107 0.189 0.544
O3 O 0.119 0.619 0.749
O4 O 0.238 0.003 0.984



# 18
# Cd3B2O6 (GGA-PBE, optimized geometry)
# - total magnetization (μB per atom) = 0.000
# - energy above the most stable polymorph in this dataset (eV/atom) = 0.030
# - uncorrected formation energy (eV per atom) = -1.682
data_Cd3B2O6
_cell_length_a 3.615
_cell_length_b 5.052
_cell_length_c 8.414
_cell_angle_alpha 81.68
_cell_angle_beta 87.16
_cell_angle_gamma 71.42
_symmetry_space_group_name_H-M 'P -1'
_symmetry_Int_Tables_number 2
loop_
_symmetry_equiv_pos_as_xyz
'x,y,z'
'-x,-y,-z'
loop_
_atom_site_label
_atom_site_type_symbol
_atom_site_fract_x
_atom_site_fract_y
_atom_site_fract_z
Cd1 Cd 0.000 0.000 0.000
Cd2 Cd 0.400 0.224 0.642
B1 B 0.377 0.346 0.247
O1 O 0.164 0.634 0.223
O2 O 0.404 0.163 0.138
O3 O 0.405 0.760 0.611



# 19
# CdB4O7 (GGA-PBE, optimized geometry)
# - total magnetization (μB per atom) = 0.000
# - energy above the most stable polymorph in this dataset (eV/atom) = 0.076
# - uncorrected formation energy (eV per atom) = -2.169
data_CdB4O7
_cell_length_a 10.778
_cell_length_b 4.423
_cell_length_c 4.228
_cell_angle_alpha 90.00
_cell_angle_beta 90.00
_cell_angle_gamma 90.00
_symmetry_space_group_name_H-M 'P m n 21'
_symmetry_Int_Tables_number 31
loop_
_symmetry_equiv_pos_as_xyz
'x,y,z'
'-x+1/2,-y,z+1/2'
'-x,y,z'
'x+1/2,-y,z+1/2'
loop_
_atom_site_label
_atom_site_type_symbol
_atom_site_fract_x
_atom_site_fract_y
_atom_site_fract_z
Cd1 Cd 0.000 0.165 0.000
B1 B 0.121 0.672 0.467
B2 B 0.249 0.826 0.943
O1 O 0.000 0.772 0.358
O2 O 0.134 0.731 0.805
O3 O 0.140 0.353 0.391
O4 O 0.222 0.865 0.300